(1)
! PrI3O10, optimized geometry, DFT PBE; values from VASP
! Formation energy without anion corrections (eV/atom): -0.7327
! Crystal system: monoclinic
&SYSTEM
  ibrav = 0, nat = 28, ntyp = 3
/
ATOMIC_SPECIES
Pr 140.91 Pr.upf
I 126.90 I.upf
O 16.00 O.upf
ATOMIC_POSITIONS crystal
Pr 0.6443 0.7503 0.8097
Pr 0.1443 0.2497 0.1903
I 0.0100 0.1011 0.5874
I 0.5100 0.8989 0.4126
I 0.6150 0.1681 0.9581
I 0.1150 0.8319 0.0419
I 0.1656 0.5191 0.7775
I 0.6656 0.4809 0.2225
O 0.9636 0.2663 0.6866
O 0.4636 0.7337 0.3134
O 0.9363 0.6414 0.7230
O 0.4363 0.3586 0.2770
O 0.7833 0.3025 0.1573
O 0.2833 0.6975 0.8427
O 0.9225 0.8856 0.9101
O 0.4225 0.1144 0.0899
O 0.0898 0.3555 0.9414
O 0.5898 0.6445 0.0586
O 0.5115 0.0351 0.8510
O 0.0115 0.9649 0.1490
O 0.7577 0.0053 0.6052
O 0.2577 0.9947 0.3948
O 0.9652 0.2538 0.4070
O 0.4652 0.7462 0.5930
O 0.5482 0.4047 0.8540
O 0.0482 0.5953 0.1460
O 0.7138 0.6739 0.4630
O 0.2138 0.3261 0.5370
CELL_PARAMETERS angstrom
-3.3877 -5.0410 -3.1474
5.7634 -0.8863 -4.7839
6.3608 -6.8046 4.0521


(2)
! Mg2Pd2Rh, optimized geometry, DFT PBE; values from VASP
! Energy of formation (kJ per mole of atoms): -34
! Energy above the lowest structure with this stoichiometry (eV per formula unit): 0.000
! Crystal system: tetragonal
&SYSTEM
  ibrav = 0, nat = 10, ntyp = 3
/
ATOMIC_SPECIES
Mg 24.30 Mg.upf
Rh 102.91 Rh.upf
Pd 106.42 Pd.upf
ATOMIC_POSITIONS crystal
Mg 0.1694 0.6694 0.5000
Mg 0.6694 0.8306 0.5000
Mg 0.8306 0.3306 0.5000
Mg 0.3306 0.1694 0.5000
Rh 0.0000 0.0000 0.0000
Rh 0.5000 0.5000 0.0000
Pd 0.3670 0.8670 0.0000
Pd 0.8670 0.6330 0.0000
Pd 0.6330 0.1330 0.0000
Pd 0.1330 0.3670 0.0000
CELL_PARAMETERS angstrom
7.0933 0.0000 0.0000
0.0000 7.0933 0.0000
0.0000 0.0000 3.2763


(3)
! Sr2Bi2Rh, optimized geometry, DFT PBE; values from VASP
! Energy of formation (kJ per mole of atoms): -62
! Energy above the lowest structure with this stoichiometry (eV per formula unit): 0.000
! Crystal system: monoclinic
&SYSTEM
  ibrav = 0, nat = 10, ntyp = 3
/
ATOMIC_SPECIES
Sr 87.62 Sr.upf
Bi 208.98 Bi.upf
Rh 102.91 Rh.upf
ATOMIC_POSITIONS crystal
Sr 0.6614 0.3398 0.3374
Sr 0.9367 0.2456 0.8810
Sr 0.3386 0.6602 0.6626
Sr 0.0633 0.7544 0.1190
Bi 0.1119 0.2201 0.5562
Bi 0.6503 0.8316 0.8679
Bi 0.8881 0.7799 0.4438
Bi 0.3497 0.1684 0.1321
Rh 0.6292 0.0861 0.6555
Rh 0.3708 0.9139 0.3445
CELL_PARAMETERS angstrom
4.7892 0.0000 0.0000
2.3946 5.9820 -0.1979
2.3946 -0.0072 10.7524


(4)
! NaHo2PuS4, optimized geometry, DFT PBE; values from VASP
! Formation energy without anion corrections (eV/atom): -1.8423
! Crystal system: monoclinic
&SYSTEM
  ibrav = 0, nat = 8, ntyp = 4
/
ATOMIC_SPECIES
Na 22.99 Na.upf
Ho 164.93 Ho.upf
Pu 244.00 Pu.upf
S 32.06 S.upf
ATOMIC_POSITIONS crystal
Na 0.0000 0.5000 0.5000
Ho 0.0000 0.0000 0.0000
Ho 0.5000 0.0000 0.5000
Pu 0.5000 0.5000 0.0000
S 0.0000 0.7573 0.7486
S 0.0000 0.2427 0.2514
S 0.5000 0.7622 0.2454
S 0.5000 0.2378 0.7546
CELL_PARAMETERS angstrom
3.9274 0.0000 0.0000
0.0000 6.8739 -0.1517
0.0000 2.4066 6.3879


(5)
! AsNF2, optimized geometry, DFT PBE; values from VASP
! Formation energy without anion corrections (eV/atom): 0.4879
! Crystal system: cubic
&SYSTEM
  ibrav = 0, nat = 4, ntyp = 3
/
ATOMIC_SPECIES
As 74.92 As.upf
N 14.01 N.upf
F 19.00 F.upf
ATOMIC_POSITIONS crystal
As 0.5000 0.5000 0.5000
N 0.0000 0.0000 0.0000
F 0.2500 0.2500 0.2500
F 0.7500 0.7500 0.7500
CELL_PARAMETERS angstrom
-3.6986 -0.7164 1.2624
-3.0093 -0.0520 -2.5938
-1.7795 -3.4340 -0.9097


(6)
! LuGaS2, optimized geometry, DFT PBE; values from VASP
! Formation energy without anion corrections (eV/atom): -1.3610
! Crystal system: trigonal
&SYSTEM
  ibrav = 0, nat = 4, ntyp = 3
/
ATOMIC_SPECIES
S 32.06 S.upf
Lu 174.97 Lu.upf
Ga 69.72 Ga.upf
ATOMIC_POSITIONS crystal
S 0.2629 0.2629 0.2113
S 0.7371 0.7371 0.7887
Lu 0.0000 0.0000 0.0000
Ga 0.5000 0.5000 0.5000
CELL_PARAMETERS angstrom
3.8904 0.0000 0.0000
1.9452 3.3692 0.0000
1.9452 1.1231 7.0622


(7)
! Th3Bi2H2, optimized geometry, DFT PBE; values from VASP
! Crystal system: triclinic
&SYSTEM
  ibrav = 0, nat = 7, ntyp = 3
/
ATOMIC_SPECIES
Th 232.04 Th.upf
Bi 208.98 Bi.upf
H 1.01 H.upf
ATOMIC_POSITIONS crystal
Th 0.0000 0.0000 0.0000
Th 0.6628 0.5446 0.2167
Th 0.3372 0.4554 0.7833
Bi 0.1104 0.8111 0.5888
Bi 0.8896 0.1889 0.4112
H 0.6683 0.2671 0.9302
H 0.3317 0.7329 0.0698
CELL_PARAMETERS angstrom
-3.4886 0.7165 -0.1616
1.1964 -1.7227 5.7963
-0.0575 8.4129 -0.6803


(8)
! Sm5HoRh6, optimized geometry, DFT PBE; values from VASP
! Energy of formation (kJ per mole of atoms): -72
! Crystal system: monoclinic
&SYSTEM
  ibrav = 0, nat = 12, ntyp = 3
/
ATOMIC_SPECIES
Rh 102.91 Rh.upf
Ho 164.93 Ho.upf
Sm 150.36 Sm.upf
ATOMIC_POSITIONS crystal
Rh 0.8356 0.7521 0.3290
Rh 0.8356 0.2479 0.3290
Rh 0.5000 0.2448 0.0000
Rh 0.5000 0.7552 0.0000
Rh 0.1644 0.7521 0.6710
Rh 0.1644 0.2479 0.6710
Ho 0.0000 0.0000 0.0000
Sm 0.6665 0.5000 0.6669
Sm 0.3339 0.0000 0.3321
Sm 0.0000 0.5000 0.0000
Sm 0.6661 0.0000 0.6679
Sm 0.3335 0.5000 0.3331
CELL_PARAMETERS angstrom
-2.4304 4.0797 -1.3878
-0.5990 -2.5349 -6.4028
-7.6582 -1.1462 1.1703


(9)
! LiTiSb2Te, optimized geometry, DFT PBE; values from VASP
! Formation energy without anion corrections (eV/atom): 0.4869
! Energy above the lowest structure with this stoichiometry (eV per formula unit): 2.790
! Crystal system: tetragonal
&SYSTEM
  ibrav = 0, nat = 5, ntyp = 4
/
ATOMIC_SPECIES
Sb 121.76 Sb.upf
Te 127.60 Te.upf
Li 6.94 Li.upf
Ti 47.87 Ti.upf
ATOMIC_POSITIONS crystal
Sb 0.0000 0.5000 0.0000
Sb 0.5000 0.0000 0.0000
Te 0.0000 0.0000 0.5000
Li 0.0000 0.0000 0.0000
Ti 0.5000 0.5000 0.5000
CELL_PARAMETERS angstrom
4.8972 0.0000 0.0000
0.0000 4.8972 0.0000
0.0000 0.0000 5.1392


(10)
! CaUCu2S4, optimized geometry, DFT PBE; values from VASP
! Formation energy without anion corrections (eV/atom): -0.9469
! Crystal system: orthorhombic
&SYSTEM
  ibrav = 0, nat = 8, ntyp = 4
/
ATOMIC_SPECIES
Ca 40.08 Ca.upf
U 238.03 U.upf
Cu 63.55 Cu.upf
S 32.06 S.upf
ATOMIC_POSITIONS crystal
Ca 0.0000 0.0000 0.0000
U 0.5000 0.5000 0.5000
Cu 0.1794 0.3206 0.3206
Cu 0.8206 0.6794 0.6794
S 0.4568 0.0623 0.5235
S 0.0426 0.9377 0.4765
S 0.9574 0.5235 0.0623
S 0.5432 0.4765 0.9377
CELL_PARAMETERS angstrom
-5.9634 -1.1629 2.2076
-3.2965 -4.5691 -1.8473
-1.1297 -3.7940 4.4143


(11)
! ScBe, optimized geometry, DFT PBE; values from VASP
! Energy of formation (kJ per mole of atoms): 11
! Crystal system: tetragonal
&SYSTEM
  ibrav = 0, nat = 4, ntyp = 2
/
ATOMIC_SPECIES
Sc 44.96 Sc.upf
Be 9.01 Be.upf
ATOMIC_POSITIONS crystal
Sc 0.2500 0.2500 0.6768
Sc 0.7500 0.7500 0.3232
Be 0.2500 0.2500 0.0646
Be 0.7500 0.7500 0.9354
CELL_PARAMETERS angstrom
-1.7158 2.1476 -1.0172
0.0091 -1.2488 -2.6517
-6.0253 -3.9439 1.8368


(12)
! TaInPdRu, optimized geometry, DFT PBE; values from VASP
! Energy of formation (kJ per mole of atoms): -20
! Crystal system: cubic
&SYSTEM
  ibrav = 0, nat = 4, ntyp = 4
/
ATOMIC_SPECIES
Ru 101.07 Ru.upf
In 114.82 In.upf
Pd 106.42 Pd.upf
Ta 180.95 Ta.upf
ATOMIC_POSITIONS crystal
Ru 0.7500 0.7500 0.7500
In 0.5000 0.5000 0.5000
Pd 0.2500 0.2500 0.2500
Ta 0.0000 0.0000 0.0000
CELL_PARAMETERS angstrom
-1.0983 -3.5696 2.6208
0.0539 -4.2147 -1.7465
3.2226 -2.9619 1.2877


no.,DFT total energy (eV/atom)
1,-4.95
2,-4.53
3,-4.34
4,-7.01
5,-3.69
6,-5.31
7,-5.58
8,-6.77
9,-3.75
10,-5.70
11,-4.91
12,-7.47